[1]
TaZnPt2 | PBE | optimized geometry

Cell lengths 3.983, 3.983, 3.982 Å; angles 90.00, 90.00, 90.00 degrees
Space group P4/mmm (No. 123)
Asymmetric unit:
1 Ta 0.000 0.000 0.000 (multiplicity 1)
2 Zn 0.500 0.500 0.000 (multiplicity 1)
3 Pt 0.000 0.500 0.500 (multiplicity 2)

E_tot in eV/atom: -6.669
Theoretical density in g/cm3: 16.733
N(E_F) in states/eV per atom: 0.6813
E_form in meV/atom: -367

***

[2]
TaZn2Pt | PBE | optimized geometry

Cell lengths 2.799, 3.766, 5.890 Å; angles 90.00, 90.00, 90.00 degrees
Space group Pmmm (No. 47)
Asymmetric unit:
1 Ta 0.000 0.000 0.000 (multiplicity 1)
2 Zn 0.500 0.500 0.269 (multiplicity 2)
3 Pt 0.000 0.000 0.500 (multiplicity 1)

E_tot in eV/atom: -5.279
Theoretical density in g/cm3: 13.558
E above lowest polymorph in meV per atom: 156.7
N(E_F) in states/eV per atom: 0.4390
E_form in meV/atom: -168